No. 1
Entry from Alexandria: crystalline CrCoNiSn2 at its relaxed geometry (PBE).

abc: 4.9813 4.1509 4.9813
angles: 90.00 90.00 90.00
Last column: magnetic moment on the atom in μB.
Atoms (fractional coordinates):
Ni  0.5000  0.5000  0.5000  0.29
Sn  0.0000  0.0000  0.5000  -0.03
Sn  0.5000  0.0000  0.0000  -0.03
Co  0.0000  0.5000  0.0000  0.61
Cr  0.0000  0.0000  0.0000  1.01

Values from the calculation:
size of the total moment = 0.374 μB/atom
E = -5.075 eV per atom

---

No. 2
Entry from Alexandria: crystalline PuSc2Cd at its relaxed geometry (PBE).

abc: 5.1352 5.1352 5.1352
angles: 60.00 60.00 60.00
Last column: magnetic moment on the atom in μB.
Atoms (fractional coordinates):
Pu  0.0000  0.0000  0.0000  5.80
Cd  0.5000  0.5000  0.5000  -0.02
Sc  0.2500  0.2500  0.2500  0.51
Sc  0.7500  0.7500  0.7500  0.51

Values from the calculation:
size of the total moment = 1.925 μB/atom
E = -6.927 eV per atom
offset from the most stable computed form = 0.117 eV/atom

---

No. 3
Entry from Alexandria: crystalline TlAg2PS4 at its relaxed geometry (PBE).

abc: 6.6592 6.3207 6.3207
angles: 83.57 58.21 58.21
Atoms (fractional coordinates):
S  0.0002  0.4574  0.1802
S  0.3623  0.1802  0.4574
Ag  0.5000  0.7474  0.2526
P  0.0000  0.5000  0.5000
Ag  0.5000  0.2526  0.7474
S  0.6377  0.5426  0.8198
S  0.9998  0.8198  0.5426
Tl  0.0000  0.0000  0.0000

Values from the calculation:
size of the total moment = 0.000 μB/atom
E = -4.007 eV per atom
ΔE_f (raw) = -0.2587 eV per atom

---

No. 4
Entry from Alexandria: crystalline MnGa4Rh2 at its relaxed geometry (PBE).

abc: 4.1775 4.1775 6.0923
angles: 90.00 90.00 90.00
Last column: magnetic moment on the atom in μB.
Atoms (fractional coordinates):
Ga  0.5000  0.0000  0.7376  -0.05
Rh  0.0000  0.0000  0.0000  -0.05
Ga  0.0000  0.5000  0.2624  -0.05
Ga  0.5000  0.0000  0.2624  -0.05
Rh  0.5000  0.5000  0.5000  0.02
Ga  0.0000  0.5000  0.7376  -0.05
Mn  0.5000  0.5000  0.0000  2.75

Values from the calculation:
size of the total moment = 0.356 μB/atom
E = -5.590 eV per atom

---

No. 5
Entry from Alexandria: crystalline PrY2Ho5Tm at its relaxed geometry (PBE).

abc: 5.6145 10.2503 10.5544
angles: 90.00 90.00 105.89
Atoms (fractional coordinates):
Ho  0.2979  0.5958  0.7089
Y  0.1112  0.2224  0.7335
Y  0.8888  0.7776  0.2335
Tm  0.7992  0.5985  0.5119
Ho  0.4794  0.9588  0.7374
Ho  0.6134  0.2268  0.5216
Ho  0.0192  0.0383  0.0244
Ho  0.7021  0.4042  0.2089
Ho  0.9808  0.9617  0.5244
Ho  0.5206  0.0412  0.2374
Pr  0.4165  0.8330  0.4543
Y  0.8869  0.7737  0.8190
Ho  0.3866  0.7732  0.0216
Pr  0.5835  0.1670  0.9543
Tm  0.2008  0.4015  0.0119
Y  0.1131  0.2263  0.3190
Ho  0.2819  0.5637  0.3130
Ho  0.7181  0.4363  0.8130

Values from the calculation:
size of the total moment = 0.000 μB/atom
E = -4.847 eV per atom

---

No. 6
Entry from Alexandria: crystalline Te6AuCl2 at its relaxed geometry (PBE).

abc: 13.2267 8.4611 13.2267
angles: 52.05 45.47 52.05
Atoms (fractional coordinates):
Te  0.5209  0.2882  0.0586
Te  0.4791  0.7118  0.9414
Au  0.9378  0.7500  0.0622
Cl  0.5646  0.0019  0.6840
Te  0.9630  0.3446  0.1895
Te  0.9414  0.2118  0.4791
Te  0.0370  0.6554  0.8105
Cl  0.6840  0.5019  0.5646
Te  0.8105  0.1554  0.0370
Cl  0.3160  0.4981  0.4354
Te  0.3044  0.9392  0.6620
Te  0.3380  0.5608  0.6956
Te  0.6620  0.4392  0.3044
Te  0.1895  0.8446  0.9630
Te  0.0586  0.7882  0.5209
Au  0.0622  0.2500  0.9378
Te  0.6956  0.0608  0.3380
Cl  0.4354  0.9981  0.3160

Values from the calculation:
size of the total moment = 0.000 μB/atom
E = -2.931 eV per atom
ΔE_f (raw) = -0.0618 eV per atom

---

No. 7
Entry from Alexandria: crystalline RbNpTl2Cl8 at its relaxed geometry (PBE).

abc: 6.8045 7.4850 9.5601
angles: 90.27 90.02 91.58
Last column: magnetic moment on the atom in μB.
Atoms (fractional coordinates):
Tl  0.4977  0.4985  0.2709  -0.01
Cl  0.8646  0.2018  0.1898  -0.06
Cl  0.1395  0.8009  0.1885  -0.06
Cl  0.3104  0.1881  0.9983  -0.07
Tl  0.5023  0.5015  0.7291  -0.01
Cl  0.3697  0.2740  0.5005  -0.02
Cl  0.8605  0.1991  0.8115  -0.06
Np  0.0000  0.0000  0.0000  2.44
Rb  0.0000  0.0000  0.5000  0.00
Cl  0.1354  0.7982  0.8102  -0.06
Cl  0.6896  0.8119  0.0017  -0.07
Cl  0.6303  0.7260  0.4995  -0.02

Values from the calculation:
size of the total moment = 0.164 μB/atom
E = -4.187 eV per atom
ΔE_f (raw) = -1.4025 eV per atom

---

No. 8
Entry from Alexandria: crystalline CuHgTe2 at its relaxed geometry (PBE).

abc: 7.7903 4.6054 7.1751
angles: 85.96 112.00 89.28
Atoms (fractional coordinates):
Cu  0.3305  0.2690  0.4442
Te  0.6020  0.0896  0.8037
Cu  0.4373  0.6051  0.7356
Hg  0.9439  0.1207  0.7587
Te  0.4004  0.7848  0.3118
Te  0.1957  0.6212  0.9042
Te  0.9814  0.3393  0.3869
Hg  0.7446  0.8640  0.2509

Values from the calculation:
size of the total moment = 0.000 μB/atom
E = -2.722 eV per atom
ΔE_f (raw) = -0.0514 eV per atom